Below is crystalline CuF2 at its relaxed geometry, with properties calculated at the PBE level.

Lattice parameters (Å, degrees): 3.327 3.327 4.556 120.61 120.61 53.14
Fractional coordinates of all 3 atoms:
Cu 0.000 0.000 0.000
F 0.744 0.744 0.243
F 0.256 0.256 0.757

Calculated total energy, eV/atom: -3.815
Space group: No. 12